#1
Below is a geometry-optimized Th3Co2Ni3 structure, with properties calculated at the PBE level.

## Properties
As for the magnetization: 0.00 Bohr magnetons per cell.

Unit cell a=3.862 b=9.639 c=15.816 alpha=90.00 beta=90.00 gamma=90.00
Space group Cmcm (No. 63)
Symmetry-distinct sites (fractional):
Th1 0.000 0.063 0.103 [8 per cell]
Th2 0.000 0.346 0.250 [4 per cell]
Co1 0.000 0.214 0.619 [8 per cell]
Ni1 0.000 0.334 0.026 [8 per cell]
Ni2 0.000 0.374 0.750 [4 per cell]

=====

#2
Below is a geometry-optimized Th3Co2Ni3 structure, with properties calculated at the PBE level.

## Properties
As for the magnetization: 0.00 Bohr magnetons per cell.

Unit cell a=3.863 b=15.410 c=5.471 alpha=90.00 beta=110.58 gamma=90.00
Space group P2_1/m (No. 11)
Symmetry-distinct sites (fractional):
Th1 0.092 0.250 0.187 [2 per cell]
Th2 0.368 0.089 0.737 [4 per cell]
Co1 0.325 0.621 0.648 [4 per cell]
Ni1 0.081 0.055 0.163 [4 per cell]
Ni2 0.183 0.750 0.365 [2 per cell]

=====

Stability ranking, top entry: #2; the second entry is 16 meV per atom less favorable.

=====

#1
Below is a geometry-optimized TiCoNi6 structure, with properties calculated at the PBE level.

## Properties
As for the magnetization: 6.42 Bohr magnetons per cell.

Unit cell a=7.172 b=4.681 c=6.469 alpha=90.00 beta=108.53 gamma=90.00
Space group C2/m (No. 12)
Symmetry-distinct sites (fractional):
Ti1 0.000 0.000 0.000 [2 per cell]
Co1 0.000 0.500 0.500 [2 per cell]
Ni1 0.146 0.000 0.443 [4 per cell]
Ni2 0.196 0.243 0.800 [8 per cell]

=====

#2
Below is a geometry-optimized TiCoNi6 structure, with properties calculated at the PBE level.

## Properties
As for the magnetization: 3.64 Bohr magnetons per cell.

Unit cell a=5.049 b=5.049 c=3.564 alpha=90.00 beta=90.00 gamma=90.00
Space group P4/mmm (No. 123)
Symmetry-distinct sites (fractional):
Ti1 0.000 0.000 0.000 [1 per cell]
Co1 0.500 0.500 0.000 [1 per cell]
Ni1 0.000 0.500 0.000 [2 per cell]
Ni2 0.255 0.255 0.500 [4 per cell]

=====

Stability ranking, top entry: #2; the second entry is 351 meV per atom less favorable.

=====

#1
Below is a geometry-optimized Ti6CoNi3 structure, with properties calculated at the PBE level.

## Properties
As for the magnetization: 0.00 Bohr magnetons per cell.

Unit cell a=8.479 b=5.287 c=6.809 alpha=90.00 beta=109.20 gamma=90.00
Space group C2/m (No. 12)
Symmetry-distinct sites (fractional):
Ti1 0.148 0.248 0.300 [8 per cell]
Ti2 0.153 0.500 0.929 [4 per cell]
Co1 0.000 0.000 0.000 [2 per cell]
Ni1 0.000 0.500 0.500 [2 per cell]
Ni2 0.104 0.000 0.682 [4 per cell]

=====

#2
Below is a geometry-optimized Ti6CoNi3 structure, with properties calculated at the PBE level.

## Properties
As for the magnetization: 2.24 Bohr magnetons per cell.

Unit cell a=7.341 b=4.310 c=9.460 alpha=90.00 beta=108.15 gamma=90.00
Space group P2_1/m (No. 11)
Symmetry-distinct sites (fractional):
Ti1 0.021 0.250 0.401 [2 per cell]
Ti2 0.164 0.750 0.185 [2 per cell]
Ti3 0.252 0.250 0.003 [2 per cell]
Ti4 0.343 0.750 0.817 [2 per cell]
Ti5 0.379 0.250 0.327 [2 per cell]
Ti6 0.384 0.250 0.616 [2 per cell]
Co1 0.459 0.750 0.101 [2 per cell]
Ni1 0.026 0.750 0.873 [2 per cell]
Ni2 0.118 0.250 0.727 [2 per cell]
Ni3 0.257 0.750 0.466 [2 per cell]

=====

Stability ranking, top entry: #2; the second entry is 89 meV per atom less favorable.

=====

#1
Below is a geometry-optimized TlCo2Ni2 structure, with properties calculated at the PBE level.

## Properties
As for the magnetization: 8.36 Bohr magnetons per cell.

Unit cell a=3.602 b=3.602 c=10.864 alpha=90.00 beta=90.00 gamma=90.00
Space group I4/mmm (No. 139)
Symmetry-distinct sites (fractional):
Tl1 0.000 0.000 0.000 [2 per cell]
Co1 0.000 0.000 0.394 [4 per cell]
Ni1 0.000 0.500 0.250 [4 per cell]

=====

#2
Below is a geometry-optimized TlCo2Ni2 structure, with properties calculated at the PBE level.

## Properties
As for the magnetization: 9.44 Bohr magnetons per cell.

Unit cell a=7.032 b=7.032 c=2.764 alpha=90.00 beta=90.00 gamma=90.00
Space group P4/mbm (No. 127)
Symmetry-distinct sites (fractional):
Tl1 0.000 0.000 0.000 [2 per cell]
Co1 0.119 0.381 0.000 [4 per cell]
Ni1 0.168 0.668 0.500 [4 per cell]

=====

#3
Below is a geometry-optimized TlCo2Ni2 structure, with properties calculated at the PBE level.

## Properties
As for the magnetization: 9.53 Bohr magnetons per cell.

Unit cell a=6.976 b=6.976 c=2.794 alpha=90.00 beta=90.00 gamma=90.00
Space group P4/mbm (No. 127)
Symmetry-distinct sites (fractional):
Tl1 0.000 0.000 0.000 [2 per cell]
Co1 0.166 0.334 0.500 [4 per cell]
Ni1 0.123 0.623 0.000 [4 per cell]

=====

Stability ranking, top entry: #2; the second entry is 6 meV per atom less favorable.

=====

#1
Below is a geometry-optimized TlCoNi2 structure, with properties calculated at the PBE level.

## Properties
As for the magnetization: 2.53 Bohr magnetons per cell.

Unit cell a=2.881 b=3.342 c=5.807 alpha=90.00 beta=90.10 gamma=90.00
Space group P2/m (No. 10)
Symmetry-distinct sites (fractional):
Tl1 0.000 0.000 0.000 [1 per cell]
Co1 0.000 0.000 0.500 [1 per cell]
Ni1 0.499 0.500 0.707 [2 per cell]

=====

#2
Below is a geometry-optimized TlCoNi2 structure, with properties calculated at the PBE level.

## Properties
As for the magnetization: 7.07 Bohr magnetons per cell.

Unit cell a=6.032 b=6.032 c=6.032 alpha=90.00 beta=90.00 gamma=90.00
Space group F-43m (No. 216)
Symmetry-distinct sites (fractional):
Tl1 0.000 0.000 0.000 [4 per cell]
Co1 0.250 0.250 0.250 [4 per cell]
Ni1 0.000 0.000 0.500 [4 per cell]
Ni2 0.250 0.250 0.750 [4 per cell]

=====

#3
Below is a geometry-optimized TlCoNi2 structure, with properties calculated at the PBE level.

## Properties
As for the magnetization: 2.22 Bohr magnetons per cell.

Unit cell a=2.837 b=4.237 c=4.670 alpha=90.00 beta=90.00 gamma=90.00
Space group Pmm2 (No. 25)
Symmetry-distinct sites (fractional):
Tl1 0.000 0.000 0.000 [1 per cell]
Co1 0.000 0.500 0.624 [1 per cell]
Ni1 0.500 0.000 0.505 [1 per cell]
Ni2 0.500 0.500 0.196 [1 per cell]

=====

Stability ranking, top entry: #1; the second entry is 46 meV per atom less favorable.

=====

#1
Below is a geometry-optimized TlCoNi structure, with properties calculated at the PBE level.

## Properties
As for the magnetization: 1.78 Bohr magnetons per cell.

Unit cell a=4.1788 b=4.1788 c=3.0130 alpha=90.00 beta=90.00 gamma=120.00
Space group P-6m2 (No. 187)
Symmetry-distinct sites (fractional):
Tl1 0.0000 0.0000 0.0000 [1 per cell]
Co1 0.6667 0.3333 0.5000 [1 per cell]
Ni1 0.3333 0.6667 0.5000 [1 per cell]

=====

#2
Below is a geometry-optimized TlCoNi structure, with properties calculated at the PBE level.

## Properties
As for the magnetization: 8.26 Bohr magnetons per cell.

Unit cell a=5.903 b=5.903 c=5.903 alpha=90.00 beta=90.00 gamma=90.00
Space group F-43m (No. 216)
Symmetry-distinct sites (fractional):
Tl1 0.000 0.000 0.000 [4 per cell]
Co1 0.000 0.000 0.500 [4 per cell]
Ni1 0.250 0.250 0.750 [4 per cell]

=====

#3
Below is a geometry-optimized TlCoNi structure, with properties calculated at the PBE level.

## Properties
As for the magnetization: 2.07 Bohr magnetons per cell.

Unit cell a=2.9971 b=2.9971 c=6.1541 alpha=90.00 beta=90.00 gamma=120.00
Space group P3m1 (No. 156)
Symmetry-distinct sites (fractional):
Tl1 0.0000 0.0000 0.0000 [1 per cell]
Co1 0.6667 0.3333 0.3662 [1 per cell]
Ni1 0.3333 0.6667 0.6410 [1 per cell]

=====

Stability ranking, top entry: #1; the second entry is 43 meV per atom less favorable.